Record 1
DFT (PBE) results for crystalline MgNbCo at its relaxed geometry.

For the calculated formation energy, the calculation gives 0.066 eV per atom. The polymorph energy (0 for the lowest one) comes out at 0.000 eV/atom.

It has space group I4mm (No. 107), with a = 2.972 Å, b = 2.972 Å, c = 10.911 Å, α = 90.00°, β = 90.00° and γ = 90.00°. The inequivalent atoms are Mg at (0.000, 0.000, 0.000), Nb at (0.000, 0.000, 0.289) and Co at (0.000, 0.000, 0.658).



Record 2
DFT (PBE) results for crystalline PuAsRuF at its relaxed geometry.

The uncorrected formation energy comes out at -1.61 eV/atom.

It has space group P4/nmm (No. 129, origin choice 2), with a = 4.115 Å, b = 4.115 Å, c = 8.206 Å, α = 90.00°, β = 90.00° and γ = 90.00°. The inequivalent atoms are Pu at (0.250, 0.250, 0.186), As at (0.250, 0.250, 0.663), Ru at (0.250, 0.750, 0.500) and F at (0.250, 0.750, 0.000).



Record 3
DFT (PBE) results for crystalline BaPmY4Se8 at its relaxed geometry.

The uncorrected formation energy comes out at -1.79 eV/atom.

It has space group R3m (No. 160, hexagonal axes), with a = 8.6189 Å, b = 8.6189 Å, c = 21.3661 Å, α = 90.00°, β = 90.00° and γ = 120.00°. The inequivalent atoms are Ba at (0.0000, 0.0000, 0.0000), Pm at (0.0000, 0.0000, 0.6288), Y at (0.0000, 0.0000, 0.2522), Y at (0.1684, 0.3369, 0.4598), Se at (0.0000, 0.0000, 0.3842), Se at (0.0000, 0.0000, 0.8590), Se at (0.0417, 0.5209, 0.3849) and Se at (0.1745, 0.3490, 0.2062).



no.,DFT total energy (eV/atom),total moment (μB/atom)
1,-6.191,0.000
2,-9.143,1.385
3,-6.103,0.000